1.
A plane-wave DFT calculation with PBE was carried out for an optimized crystal structure of Tb6Pm2PrDy3.

a b c (Å): 6.2103 10.7517 11.8691
angles (deg): 90.00 100.01 90.00
Closest atoms and distances in Å follow each position.
Space group C2/m (No. 12)
Symmetry-distinct sites (fractional):
Tb 0.2482 0.1668 0.2465  3 Dy 3.55, 6 Tb 3.58-3.59, 2 Pm 3.61-3.62, 1 Pr 3.62
Tb 0.2487 0.5000 0.2465  3 Dy 3.55, 6 Tb 3.58-3.59, 1 Pr 3.61, 2 Pm 3.61
Pm 0.0000 0.1666 0.5000  3 Pm 3.58-3.59, 3 Pr 3.58, 6 Tb 3.61-3.62
Pr 0.0000 0.5000 0.5000  6 Pm 3.58, 6 Tb 3.61-3.62
Dy 0.0000 0.0000 0.0000  6 Tb 3.55, 6 Dy 3.58-3.59
Dy 0.0000 0.3332 0.0000  6 Tb 3.55, 6 Dy 3.58-3.59

## Properties
**Energy relative to the elements**: 0.19 eV/f.u.

---

2.
A plane-wave DFT calculation with PBE was carried out for an optimized crystal structure of La2Sn2Hg.

a b c (Å): 8.4293 8.4293 4.4314
angles (deg): 90.00 90.00 90.00
Closest atoms and distances in Å follow each position.
Space group P4/mbm (No. 127)
Symmetry-distinct sites (fractional):
La 0.1302 0.3698 0.0000  1 La 3.10, 6 Sn 3.23-3.40, 2 Hg 3.30
Sn 0.1730 0.6730 0.5000  6 La 3.23-3.40
Hg 0.0000 0.0000 0.0000  4 La 3.30

## Properties
**Distance to the lowest polymorph of the same formula**: 236 meV per atom
**Energy relative to the elements**: -2.27 eV/f.u.